Ac2Al4Ag5 | PBE | relaxed Values from VASP.

```
&SYSTEM
  ibrav = 0, nat = 11, ntyp = 3
/
ATOMIC_SPECIES
Ac 227.00 Ac.upf
Al 26.98 Al.upf
Ag 107.87 Ag.upf
CELL_PARAMETERS angstrom
-2.333 -4.093 -3.256
-3.246 -5.347 4.010
-7.094 0.827 -0.992
ATOMIC_POSITIONS crystal
Ac 0.294 0.772 0.640
Ac 0.706 0.228 0.360
Al 0.371 0.072 0.186
Al 0.629 0.928 0.814
Al 0.770 0.548 0.912
Al 0.230 0.452 0.088
Ag 0.210 0.243 0.830
Ag 0.790 0.757 0.170
Ag 0.000 0.500 0.500
Ag 0.717 0.243 0.830
Ag 0.283 0.757 0.170
```



Ac3Al2Ag9 | PBE | relaxed Values from VASP.

```
&SYSTEM
  ibrav = 0, nat = 14, ntyp = 3
/
ATOMIC_SPECIES
Ac 227.00 Ac.upf
Al 26.98 Al.upf
Ag 107.87 Ag.upf
CELL_PARAMETERS angstrom
-2.338 5.134 6.844
2.338 -5.134 6.844
2.338 5.134 -6.844
ATOMIC_POSITIONS crystal
Ac 0.000 0.000 0.000
Ac 0.303 0.303 0.000
Ac 0.697 0.697 0.000
Al 0.294 0.500 0.794
Al 0.706 0.500 0.206
Ag 0.500 0.000 0.500
Ag 0.977 0.337 0.640
Ag 0.023 0.663 0.360
Ag 0.697 0.337 0.360
Ag 0.303 0.663 0.640
Ag 0.841 0.123 0.718
Ag 0.159 0.877 0.282
Ag 0.405 0.123 0.282
Ag 0.595 0.877 0.718
```



Ac2AlAg2 | PBE | relaxed Values from VASP.

```
&SYSTEM
  ibrav = 0, nat = 10, ntyp = 3
/
ATOMIC_SPECIES
Ac 227.00 Ac.upf
Al 26.98 Al.upf
Ag 107.87 Ag.upf
CELL_PARAMETERS angstrom
4.745 0.000 0.000
2.372 5.822 -0.356
2.372 0.274 10.339
ATOMIC_POSITIONS crystal
Ac 0.675 0.311 0.339
Ac 0.914 0.283 0.890
Ac 0.325 0.689 0.661
Ac 0.086 0.717 0.110
Al 0.626 0.102 0.645
Al 0.374 0.898 0.355
Ag 0.086 0.264 0.563
Ag 0.627 0.868 0.877
Ag 0.914 0.736 0.437
Ag 0.373 0.132 0.123
```



Ac2Al2Ag5 | PBE | relaxed Values from VASP.

```
&SYSTEM
  ibrav = 0, nat = 9, ntyp = 3
/
ATOMIC_SPECIES
Ac 227.00 Ac.upf
Al 26.98 Al.upf
Ag 107.87 Ag.upf
CELL_PARAMETERS angstrom
4.907 0.000 0.000
0.000 4.907 0.000
0.000 0.000 8.918
ATOMIC_POSITIONS crystal
Ac 0.000 0.000 0.000
Ac 0.000 0.000 0.500
Al 0.500 0.500 0.156
Al 0.500 0.500 0.844
Ag 0.500 0.000 0.264
Ag 0.500 0.000 0.736
Ag 0.000 0.500 0.264
Ag 0.000 0.500 0.736
Ag 0.500 0.500 0.500
```



AcAlAg3 | PBE | relaxed Values from VASP.

```
&SYSTEM
  ibrav = 0, nat = 5, ntyp = 3
/
ATOMIC_SPECIES
Ac 227.00 Ac.upf
Al 26.98 Al.upf
Ag 107.87 Ag.upf
CELL_PARAMETERS angstrom
-3.668 -3.216 -1.095
1.753 -0.411 -4.664
2.910 -3.805 1.429
ATOMIC_POSITIONS crystal
Ac 0.500 0.500 0.500
Al 0.000 0.000 0.000
Ag 0.000 0.500 0.000
Ag 0.000 0.000 0.500
Ag 0.500 0.000 0.000
```



AcAl2Ag | PBE | relaxed Values from VASP.

```
&SYSTEM
  ibrav = 0, nat = 8, ntyp = 3
/
ATOMIC_SPECIES
Ac 227.00 Ac.upf
Al 26.98 Al.upf
Ag 107.87 Ag.upf
CELL_PARAMETERS angstrom
4.930 0.000 0.000
-2.465 5.453 0.000
0.000 0.000 7.031
ATOMIC_POSITIONS crystal
Ac 0.904 0.808 0.250
Ac 0.096 0.192 0.750
Al 0.380 0.761 0.941
Al 0.620 0.239 0.059
Al 0.620 0.239 0.441
Al 0.380 0.761 0.559
Ag 0.203 0.406 0.250
Ag 0.797 0.594 0.750
```



AcAlAg | PBE | relaxed Values from VASP.

```
&SYSTEM
  ibrav = 0, nat = 3, ntyp = 3
/
ATOMIC_SPECIES
Ac 227.00 Ac.upf
Al 26.98 Al.upf
Ag 107.87 Ag.upf
CELL_PARAMETERS angstrom
3.574 0.000 0.000
0.000 3.574 0.000
-1.787 -1.787 5.972
ATOMIC_POSITIONS crystal
Ac 0.999 0.999 0.997
Al 0.303 0.303 0.606
Ag 0.699 0.699 0.397
```



Ac3AlAg3 | PBE | relaxed Values from VASP.

```
&SYSTEM
  ibrav = 0, nat = 14, ntyp = 3
/
ATOMIC_SPECIES
Ac 227.00 Ac.upf
Al 26.98 Al.upf
Ag 107.87 Ag.upf
CELL_PARAMETERS angstrom
6.245 0.000 0.000
0.000 9.407 0.000
0.000 -4.704 8.147
ATOMIC_POSITIONS crystal
Ac 0.750 0.678 0.587
Ac 0.750 0.413 0.091
Ac 0.750 0.909 0.322
Ac 0.250 0.322 0.413
Ac 0.250 0.587 0.909
Ac 0.250 0.091 0.678
Al 0.250 0.667 0.333
Al 0.750 0.333 0.667
Ag 0.250 0.727 0.646
Ag 0.250 0.354 0.081
Ag 0.250 0.919 0.273
Ag 0.750 0.273 0.354
Ag 0.750 0.646 0.919
Ag 0.750 0.081 0.727
```



Ac6Al2Ag | PBE | relaxed Values from VASP.

```
&SYSTEM
  ibrav = 0, nat = 18, ntyp = 3
/
ATOMIC_SPECIES
Ac 227.00 Ac.upf
Al 26.98 Al.upf
Ag 107.87 Ag.upf
CELL_PARAMETERS angstrom
6.933 0.000 0.533
0.000 9.188 0.000
-0.128 0.000 10.483
ATOMIC_POSITIONS crystal
Ac 0.867 0.960 0.221
Ac 0.872 0.666 0.562
Ac 0.891 0.682 0.934
Ac 0.609 0.182 0.566
Ac 0.628 0.166 0.938
Ac 0.633 0.460 0.279
Ac 0.133 0.040 0.779
Ac 0.128 0.334 0.438
Ac 0.109 0.318 0.066
Ac 0.391 0.818 0.434
Ac 0.372 0.834 0.062
Ac 0.367 0.540 0.721
Al 0.927 0.373 0.752
Al 0.573 0.873 0.748
Al 0.427 0.127 0.252
Al 0.073 0.627 0.248
Ag 0.500 0.500 0.000
Ag 0.000 0.000 0.500
```



Ac2Al2Ag | PBE | relaxed Values from VASP.

```
&SYSTEM
  ibrav = 0, nat = 10, ntyp = 3
/
ATOMIC_SPECIES
Ac 227.00 Ac.upf
Al 26.98 Al.upf
Ag 107.87 Ag.upf
CELL_PARAMETERS angstrom
-2.135 -3.000 3.288
-0.637 -2.372 -6.285
8.763 -2.180 3.702
ATOMIC_POSITIONS crystal
Ac 0.646 0.292 0.014
Ac 0.388 0.777 0.604
Ac 0.354 0.708 0.986
Ac 0.612 0.223 0.396
Al 0.962 0.924 0.847
Al 0.903 0.806 0.337
Al 0.038 0.076 0.153
Al 0.097 0.194 0.663
Ag 0.275 0.550 0.265
Ag 0.725 0.450 0.735
```



Ac8Al2Ag | PBE | relaxed Values from VASP.

```
&SYSTEM
  ibrav = 0, nat = 11, ntyp = 3
/
ATOMIC_SPECIES
Ac 227.00 Ac.upf
Al 26.98 Al.upf
Ag 107.87 Ag.upf
CELL_PARAMETERS angstrom
5.536 0.000 0.000
0.000 7.515 0.435
-2.768 -2.690 9.746
ATOMIC_POSITIONS crystal
Ac 0.406 0.538 0.811
Ac 0.659 0.969 0.318
Ac 0.793 0.691 0.586
Ac 0.976 0.230 0.951
Ac 0.207 0.309 0.414
Ac 0.341 0.031 0.682
Ac 0.594 0.462 0.189
Ac 0.024 0.770 0.049
Al 0.811 0.258 0.622
Al 0.189 0.742 0.378
Ag 0.500 0.000 0.000
```



AcAlAg3 | PBE | relaxed Values from VASP.

```
&SYSTEM
  ibrav = 0, nat = 20, ntyp = 3
/
ATOMIC_SPECIES
Ac 227.00 Ac.upf
Al 26.98 Al.upf
Ag 107.87 Ag.upf
CELL_PARAMETERS angstrom
-0.009 3.287 5.901
-5.669 -0.402 -3.651
-2.965 -10.312 5.739
ATOMIC_POSITIONS crystal
Ac 0.333 0.667 0.250
Ac 0.667 0.333 0.750
Ac 0.000 0.000 0.500
Ac 0.000 0.000 0.000
Al 0.667 0.333 0.139
Al 0.333 0.667 0.639
Al 0.333 0.667 0.861
Al 0.667 0.333 0.361
Ag 0.139 0.277 0.750
Ag 0.277 0.139 0.250
Ag 0.861 0.139 0.250
Ag 0.139 0.861 0.750
Ag 0.723 0.861 0.750
Ag 0.861 0.723 0.250
Ag 0.500 0.500 0.500
Ag 0.500 0.000 0.000
Ag 0.500 0.500 0.000
Ag 0.500 0.000 0.500
Ag 0.000 0.500 0.500
Ag 0.000 0.500 0.000
```



Ac2Al2Ag3 | PBE | relaxed Values from VASP.

```
&SYSTEM
  ibrav = 0, nat = 14, ntyp = 3
/
ATOMIC_SPECIES
Ac 227.00 Ac.upf
Al 26.98 Al.upf
Ag 107.87 Ag.upf
CELL_PARAMETERS angstrom
4.419 0.000 -1.054
0.000 7.566 0.000
0.181 0.000 10.554
ATOMIC_POSITIONS crystal
Ac 0.155 0.250 0.311
Ac 0.845 0.750 0.689
Ac 0.941 0.250 0.882
Ac 0.059 0.750 0.118
Al 0.693 0.936 0.386
Al 0.307 0.064 0.614
Al 0.307 0.436 0.614
Al 0.693 0.564 0.386
Ag 0.224 0.750 0.448
Ag 0.776 0.250 0.552
Ag 0.564 0.440 0.127
Ag 0.436 0.560 0.873
Ag 0.436 0.940 0.873
Ag 0.564 0.060 0.127
```



Ac2Al9Ag6 | PBE | relaxed Values from VASP.

```
&SYSTEM
  ibrav = 0, nat = 17, ntyp = 3
/
ATOMIC_SPECIES
Ac 227.00 Ac.upf
Al 26.98 Al.upf
Ag 107.87 Ag.upf
CELL_PARAMETERS angstrom
-2.046 0.144 -5.267
5.583 -0.182 0.859
-0.405 -13.405 -0.210
ATOMIC_POSITIONS crystal
Ac 0.000 0.000 0.668
Ac 0.000 0.000 0.332
Al 0.500 0.000 0.838
Al 0.000 0.500 0.838
Al 0.500 0.500 0.838
Al 0.500 0.000 0.162
Al 0.000 0.500 0.162
Al 0.500 0.500 0.162
Al 0.500 0.000 0.500
Al 0.000 0.500 0.500
Al 0.500 0.500 0.500
Ag 0.333 0.667 0.000
Ag 0.667 0.333 0.000
Ag 0.333 0.667 0.668
Ag 0.667 0.333 0.668
Ag 0.667 0.333 0.332
Ag 0.333 0.667 0.332
```



AcAl10Ag2 | PBE | relaxed Values from VASP.

```
&SYSTEM
  ibrav = 0, nat = 13, ntyp = 3
/
ATOMIC_SPECIES
Ac 227.00 Ac.upf
Al 26.98 Al.upf
Ag 107.87 Ag.upf
CELL_PARAMETERS angstrom
5.076 0.000 2.069
2.538 6.884 1.035
0.093 0.000 7.031
ATOMIC_POSITIONS crystal
Ac 0.000 0.000 0.000
Al 0.358 0.646 0.639
Al 0.642 0.354 0.361
Al 0.004 0.354 0.639
Al 0.996 0.646 0.361
Al 0.000 0.000 0.500
Al 0.500 0.000 0.500
Al 0.274 0.226 0.225
Al 0.726 0.774 0.775
Al 0.500 0.774 0.225
Al 0.500 0.226 0.775
Ag 0.000 0.500 0.000
Ag 0.500 0.500 0.000
```



AcAl2Ag3 | PBE | relaxed Values from VASP.

```
&SYSTEM
  ibrav = 0, nat = 12, ntyp = 3
/
ATOMIC_SPECIES
Ac 227.00 Ac.upf
Al 26.98 Al.upf
Ag 107.87 Ag.upf
CELL_PARAMETERS angstrom
5.575 0.000 0.000
0.000 6.934 0.002
0.000 -1.391 6.793
ATOMIC_POSITIONS crystal
Ac 0.250 0.318 0.318
Ac 0.750 0.682 0.682
Al 0.500 0.791 0.209
Al 0.000 0.791 0.209
Al 0.000 0.209 0.791
Al 0.500 0.209 0.791
Ag 0.750 0.470 0.095
Ag 0.750 0.095 0.470
Ag 0.250 0.530 0.905
Ag 0.750 0.060 0.060
Ag 0.250 0.940 0.940
Ag 0.250 0.905 0.530
```



Ac3AlAg | PBE | relaxed Values from VASP.

```
&SYSTEM
  ibrav = 0, nat = 10, ntyp = 3
/
ATOMIC_SPECIES
Ac 227.00 Ac.upf
Al 26.98 Al.upf
Ag 107.87 Ag.upf
CELL_PARAMETERS angstrom
5.539 0.000 1.266
0.000 5.668 0.000
0.406 0.000 10.975
ATOMIC_POSITIONS crystal
Ac 0.753 0.250 0.142
Ac 0.389 0.250 0.869
Ac 0.572 0.250 0.504
Ac 0.259 0.750 0.131
Ac 0.895 0.750 0.858
Ac 0.076 0.750 0.496
Al 0.480 0.750 0.689
Al 0.169 0.250 0.311
Ag 0.666 0.750 0.316
Ag 0.982 0.250 0.684
```



AcAlAg | PBE | relaxed Values from VASP.

```
&SYSTEM
  ibrav = 0, nat = 3, ntyp = 3
/
ATOMIC_SPECIES
Ac 227.00 Ac.upf
Al 26.98 Al.upf
Ag 107.87 Ag.upf
CELL_PARAMETERS angstrom
-1.889 -0.854 -4.577
2.739 -2.441 -3.433
-1.263 -4.668 -1.366
ATOMIC_POSITIONS crystal
Ac 0.000 0.000 0.000
Al 0.500 0.500 0.500
Ag 0.250 0.250 0.250
```



AcAlAg | PBE | relaxed Values from VASP.

```
&SYSTEM
  ibrav = 0, nat = 6, ntyp = 3
/
ATOMIC_SPECIES
Ac 227.00 Ac.upf
Al 26.98 Al.upf
Ag 107.87 Ag.upf
CELL_PARAMETERS angstrom
4.796 0.705 -0.069
1.667 5.042 -2.914
0.340 -1.533 7.865
ATOMIC_POSITIONS crystal
Ac 0.404 0.503 0.234
Ac 0.322 0.666 0.836
Al 0.021 0.269 0.430
Al 0.705 0.900 0.639
Ag 0.683 0.944 0.272
Ag 0.043 0.225 0.797
```



AcAl5Ag2 | PBE | relaxed Values from VASP.

```
&SYSTEM
  ibrav = 0, nat = 8, ntyp = 3
/
ATOMIC_SPECIES
Ac 227.00 Ac.upf
Al 26.98 Al.upf
Ag 107.87 Ag.upf
CELL_PARAMETERS angstrom
4.282 0.000 0.000
2.141 6.345 0.437
2.141 1.595 6.156
ATOMIC_POSITIONS crystal
Ac 0.000 0.000 0.000
Al 0.000 0.500 0.500
Al 0.640 0.544 0.176
Al 0.360 0.456 0.824
Al 0.360 0.824 0.456
Al 0.640 0.176 0.544
Ag 0.753 0.747 0.747
Ag 0.247 0.253 0.253
```



no.,formation energy from the elements (eV/atom)
1,-0.158
2,-0.229
3,-0.284
4,-0.194
5,-0.083
6,-0.302
7,-0.117
8,-0.030
9,-0.076
10,-0.279
11,-0.098
12,-0.162
13,-0.289
14,-0.161
15,-0.124
16,-0.291
17,-0.172
18,-0.102
19,-0.330
20,-0.235